# PBE YNbBr3, relaxed
# **Space group**: Pm-3m, No. 221
# **Density**: 4.8 g cm⁻³
# **Crystal system**: cubic
# **Energy relative to the lowest polymorph listed for this composition**: 0.093 eV per atom
# **Volume**: 145 Å³/cell
# **Total magnetization**: 0.7585 μB per atom
# **ΔE_f (raw)**: -0.05 eV/atom
data_YNbBr3
_space_group_name_H-M_alt 'P 1'
_space_group_IT_number 1
_space_group_name_Hall 'P 1'
_cell_length_a 5.2492
_cell_length_b 5.2492
_cell_length_c 5.2492
_cell_angle_alpha 90.00
_cell_angle_beta 90.00
_cell_angle_gamma 90.00
loop_
_atom_site_label
_atom_site_fract_x
_atom_site_fract_y
_atom_site_fract_z
Br1 0.0000 0.0000 0.5000
Y1 0.5000 0.5000 0.5000
Br2 0.5000 0.0000 0.0000
Nb1 0.0000 0.0000 0.0000
Br3 0.0000 0.5000 0.0000